Record 1
The following is a PBE-GGA calculation of an optimized crystal structure of SrRe2Te, from Alexandria.

Cell and atoms, written as POSCAR:
```
SrRe2Te
1.0
3.2512 0.0000 0.0000
0.0000 1.5974 8.6457
0.0000 -1.5974 8.6457
Sr Re Te
1 2 1
direct
0.0000 0.0000 0.0000
0.0000 0.7915 0.7915
0.5000 0.3635 0.3635
0.5000 0.6556 0.6556
```

* formation energy from raw total energies: 0.305 eV per atom

Record 2
The following is a PBE-GGA calculation of an optimized crystal structure of Tm7Sn4H, from Alexandria.

Cell and atoms, written as POSCAR:
```
Tm7Sn4H
1.0
7.9378 -2.4868 0.0000
7.9378 2.4868 0.0000
-6.8286 0.0000 8.3295
Tm Sn H
7 4 1
direct
0.0000 0.0000 0.0000
0.1380 0.1380 0.5584
0.2870 0.2870 0.1446
0.4301 0.4301 0.7345
0.5699 0.5699 0.2655
0.7130 0.7130 0.8554
0.8620 0.8620 0.4416
0.0782 0.0782 0.7897
0.2197 0.2197 0.3480
0.7803 0.7803 0.6520
0.9218 0.9218 0.2103
0.5000 0.5000 0.0000
```

Record 3
The following is a PBE-GGA calculation of an optimized crystal structure of TiZnGaAg2, from Alexandria.

Cell and atoms, written as POSCAR:
```
TiZnGaAg2
1.0
4.7291 0.0000 0.0000
0.0000 4.7291 0.0000
0.0000 0.0000 4.5705
Ti Zn Ga Ag
1 1 1 2
direct
0.0000 0.0000 0.0000
0.5000 0.5000 0.5000
0.5000 0.5000 0.0000
0.0000 0.5000 0.5000
0.5000 0.0000 0.5000
```

* ΔH_f (0 K): 0.627 eV/atom

Per-record calculated total energy, eV/atom: -7.125 -4.651 -2.953